An optimized crystal structure of AgAsIr3. Source: the Alexandria database, functional PBE. Values from VASP.

The structure in Quantum ESPRESSO input format:
```
&SYSTEM
  ibrav = 0, nat = 5, ntyp = 3
/
ATOMIC_SPECIES
Ag 107.87 Ag.upf
As 74.92 As.upf
Ir 192.22 Ir.upf
ATOMIC_POSITIONS crystal
Ag 0.000 0.000 0.000
As 0.500 0.500 0.500
Ir 0.000 0.000 0.500
Ir 0.000 0.500 0.000
Ir 0.500 0.000 0.000
CELL_PARAMETERS angstrom
4.794 0.000 0.000
0.000 4.794 0.000
0.000 0.000 4.794
```

Output
The value obtained for the uncorrected energy is -22.00 eV for the cell shown. Its total magnetic moment is 1.84 μB/cell. For the polymorph energy (0 for the lowest one), the calculation gives 1365.0 meV per atom. As for the space group: Pm-3m. The calculated formation energy comes out at 2.417 eV per atom.



An optimized crystal structure of Nd3HPb. Source: the Alexandria database, functional PBE. Values from VASP.

The structure in Quantum ESPRESSO input format:
```
&SYSTEM
  ibrav = 0, nat = 5, ntyp = 3
/
ATOMIC_SPECIES
Nd 144.24 Nd.upf
H 1.01 H.upf
Pb 207.20 Pb.upf
ATOMIC_POSITIONS crystal
Nd 0.000 0.000 0.500
Nd 0.000 0.500 0.000
Nd 0.500 0.000 0.000
H 0.000 0.000 0.000
Pb 0.500 0.500 0.500
CELL_PARAMETERS angstrom
5.013 0.000 0.000
0.000 5.013 0.000
0.000 0.000 5.013
```

Output
The value obtained for the uncorrected energy is -23.46 eV for the cell shown. Its total magnetic moment is 0.00 μB/cell. For the polymorph energy (0 for the lowest one), the calculation gives 0.0 meV per atom. As for the space group: Pm-3m.



An optimized crystal structure of Na2TmTl3. Source: the Alexandria database, functional PBE. Values from VASP.

The structure in Quantum ESPRESSO input format:
```
&SYSTEM
  ibrav = 0, nat = 12, ntyp = 3
/
ATOMIC_SPECIES
Na 22.99 Na.upf
Tm 168.93 Tm.upf
Tl 204.38 Tl.upf
ATOMIC_POSITIONS crystal
Na 0.000 0.000 0.000
Na 0.000 0.000 0.500
Na 0.336 0.664 0.000
Na 0.664 0.336 0.000
Tm 0.333 0.667 0.500
Tm 0.667 0.333 0.500
Tl 0.167 0.833 0.256
Tl 0.167 0.833 0.744
Tl 0.500 0.500 0.261
Tl 0.500 0.500 0.739
Tl 0.833 0.167 0.256
Tl 0.833 0.167 0.744
CELL_PARAMETERS angstrom
2.667 -8.006 0.000
2.667 8.006 0.000
0.000 0.000 7.644
```

Output
The value obtained for the uncorrected energy is -30.35 eV for the cell shown. Its total magnetic moment is 0.00 μB/cell. As for the space group: Cmmm. The calculated formation energy comes out at -0.161 eV per atom.



An optimized crystal structure of Cs2SrYCl6. Source: the Alexandria database, functional PBE. Values from VASP.

The structure in Quantum ESPRESSO input format:
```
&SYSTEM
  ibrav = 0, nat = 10, ntyp = 4
/
ATOMIC_SPECIES
Cs 132.91 Cs.upf
Sr 87.62 Sr.upf
Y 88.91 Y.upf
Cl 35.45 Cl.upf
ATOMIC_POSITIONS crystal
Cs 0.250 0.250 0.250
Cs 0.750 0.750 0.750
Sr 0.000 0.000 0.000
Y 0.500 0.500 0.500
Cl 0.257 0.257 0.743
Cl 0.257 0.743 0.257
Cl 0.257 0.743 0.743
Cl 0.743 0.257 0.257
Cl 0.743 0.257 0.743
Cl 0.743 0.743 0.257
CELL_PARAMETERS angstrom
0.000 5.577 5.577
5.577 0.000 5.577
5.577 5.577 0.000
```

Output
The value obtained for the uncorrected energy is -41.81 eV for the cell shown. Its total magnetic moment is 0.97 μB/cell. The raw formation energy is -20.88 eV/f.u. As for the space group: Fm-3m.



An optimized crystal structure of Pa4TlS8. Source: the Alexandria database, functional PBE. Values from VASP.

The structure in Quantum ESPRESSO input format:
```
&SYSTEM
  ibrav = 0, nat = 13, ntyp = 3
/
ATOMIC_SPECIES
Pa 231.04 Pa.upf
Tl 204.38 Tl.upf
S 32.06 S.upf
ATOMIC_POSITIONS crystal
Pa 0.128 0.128 0.456
Pa 0.345 0.345 0.186
Pa 0.655 0.655 0.814
Pa 0.872 0.872 0.544
Tl 0.500 0.500 0.000
S 0.079 0.079 0.648
S 0.155 0.155 0.976
S 0.262 0.262 0.368
S 0.451 0.451 0.716
S 0.549 0.549 0.284
S 0.738 0.738 0.632
S 0.845 0.845 0.024
S 0.921 0.921 0.352
CELL_PARAMETERS angstrom
7.924 -2.109 0.000
7.924 2.109 0.000
-6.051 0.000 10.015
```

Output
The value obtained for the uncorrected energy is -92.14 eV for the cell shown. Its total magnetic moment is 5.09 μB/cell. For the polymorph energy (0 for the lowest one), the calculation gives 0.0 meV per atom. The raw formation energy is -18.78 eV/f.u. As for the space group: C2/m.



An optimized crystal structure of CsHIr3. Source: the Alexandria database, functional PBE. Values from VASP.

The structure in Quantum ESPRESSO input format:
```
&SYSTEM
  ibrav = 0, nat = 5, ntyp = 3
/
ATOMIC_SPECIES
Cs 132.91 Cs.upf
H 1.01 H.upf
Ir 192.22 Ir.upf
ATOMIC_POSITIONS crystal
Cs 0.000 0.000 0.000
H 0.500 0.500 0.500
Ir 0.000 0.500 0.500
Ir 0.500 0.000 0.500
Ir 0.500 0.500 0.000
CELL_PARAMETERS angstrom
4.257 0.000 0.000
0.000 4.257 0.000
0.000 0.000 4.257
```

Output
The value obtained for the uncorrected energy is -23.66 eV for the cell shown. Its total magnetic moment is 0.00 μB/cell. For the polymorph energy (0 for the lowest one), the calculation gives 0.0 meV per atom. As for the space group: Pm-3m.



An optimized crystal structure of Ba3CdB2O6. Source: the Alexandria database, functional PBE. Values from VASP.

The structure in Quantum ESPRESSO input format:
```
&SYSTEM
  ibrav = 0, nat = 12, ntyp = 4
/
ATOMIC_SPECIES
Ba 137.33 Ba.upf
Cd 112.41 Cd.upf
B 10.81 B.upf
O 16.00 O.upf
ATOMIC_POSITIONS crystal
Ba 0.000 0.000 0.000
Ba 0.333 0.667 0.736
Ba 0.667 0.333 0.264
Cd 0.000 0.000 0.500
B 0.333 0.667 0.206
B 0.667 0.333 0.794
O 0.190 0.380 0.206
O 0.190 0.810 0.206
O 0.380 0.190 0.794
O 0.620 0.810 0.206
O 0.810 0.190 0.794
O 0.810 0.620 0.794
CELL_PARAMETERS angstrom
5.589 0.000 0.000
-2.794 4.840 0.000
0.000 0.000 9.217
```

Output
The value obtained for the uncorrected energy is -77.84 eV for the cell shown. Its total magnetic moment is 0.00 μB/cell. The raw formation energy is -28.06 eV/f.u. As for the space group: P-3m1.



An optimized crystal structure of InGa2Cu. Source: the Alexandria database, functional PBE. Values from VASP.

The structure in Quantum ESPRESSO input format:
```
&SYSTEM
  ibrav = 0, nat = 4, ntyp = 3
/
ATOMIC_SPECIES
In 114.82 In.upf
Ga 69.72 Ga.upf
Cu 63.55 Cu.upf
ATOMIC_POSITIONS crystal
In 0.000 0.000 0.000
Ga 0.100 0.100 0.100
Ga 0.900 0.900 0.900
Cu 0.500 0.500 0.500
CELL_PARAMETERS angstrom
1.527 0.881 9.499
-1.527 0.881 9.499
0.000 -1.763 9.499
```

Output
The value obtained for the uncorrected energy is -12.62 eV for the cell shown. Its total magnetic moment is 0.00 μB/cell. As for the space group: R-3m. The calculated formation energy comes out at 0.066 eV per atom.



An optimized crystal structure of TeIrRh2. Source: the Alexandria database, functional PBE. Values from VASP.

The structure in Quantum ESPRESSO input format:
```
&SYSTEM
  ibrav = 0, nat = 4, ntyp = 3
/
ATOMIC_SPECIES
Te 127.60 Te.upf
Ir 192.22 Ir.upf
Rh 102.91 Rh.upf
ATOMIC_POSITIONS crystal
Te 0.000 0.000 0.000
Ir 0.500 0.500 0.000
Rh 0.000 0.500 0.500
Rh 0.500 0.000 0.500
CELL_PARAMETERS angstrom
3.979 0.000 0.000
0.000 3.979 0.000
0.000 0.000 4.014
```

Output
The value obtained for the uncorrected energy is -26.33 eV for the cell shown. Its total magnetic moment is 0.00 μB/cell. The raw formation energy is 0.38 eV/f.u. As for the space group: P4/mmm.



An optimized crystal structure of InGe2Cl. Source: the Alexandria database, functional PBE. Values from VASP.

The structure in Quantum ESPRESSO input format:
```
&SYSTEM
  ibrav = 0, nat = 4, ntyp = 3
/
ATOMIC_SPECIES
In 114.82 In.upf
Ge 72.64 Ge.upf
Cl 35.45 Cl.upf
ATOMIC_POSITIONS crystal
In 0.000 0.000 0.000
Ge 0.250 0.250 0.250
Ge 0.750 0.750 0.750
Cl 0.500 0.500 0.500
CELL_PARAMETERS angstrom
0.000 3.520 3.520
3.520 0.000 3.520
3.520 3.520 0.000
```

Output
The value obtained for the uncorrected energy is -13.05 eV for the cell shown. Its total magnetic moment is 0.00 μB/cell. For the polymorph energy (0 for the lowest one), the calculation gives 89.7 meV per atom. The raw formation energy is 0.77 eV/f.u. As for the space group: Fm-3m.